Entry 1:
A plane-wave DFT calculation with GGA-PBE was carried out for crystalline TaCrB3 at its relaxed geometry.

As for the energy: -38.10 eV/cell. The energy of formation is 0.68 eV per atom. The calculation puts the total magnetization at 0.0 Bohr magnetons per cell.

The structure in POSCAR format:
```
TaCrB3
1.0
3.749 0.000 0.000
0.000 3.749 0.000
0.000 0.000 3.749
Ta Cr B
1 1 3
direct
0.000 0.000 0.000
0.500 0.500 0.500
0.000 0.500 0.500
0.500 0.000 0.500
0.500 0.500 0.000
```


Entry 2:
A plane-wave DFT calculation with GGA-PBE was carried out for crystalline U2ZnSiPt6 at its relaxed geometry.

As for the energy: -67.21 eV/cell. The value obtained for the raw formation energy is -1.69 eV/f.u. The calculation puts the total magnetization at 4.9 Bohr magnetons per cell.

The structure in POSCAR format:
```
U2ZnSiPt6
1.0
0.000 4.646 4.646
4.646 0.000 4.646
4.646 4.646 0.000
U Zn Si Pt
2 1 1 6
direct
0.250 0.250 0.250
0.750 0.750 0.750
0.000 0.000 0.000
0.500 0.500 0.500
0.256 0.256 0.744
0.256 0.744 0.256
0.256 0.744 0.744
0.744 0.256 0.256
0.744 0.256 0.744
0.744 0.744 0.256
```


Entry 3:
A plane-wave DFT calculation with GGA-PBE was carried out for crystalline PmTiH at its relaxed geometry.

As for the energy: -31.41 eV/cell. The calculation puts the total magnetization at 0.6 Bohr magnetons per cell.

The structure in POSCAR format:
```
PmTiH
1.0
3.233 0.000 0.000
-1.617 2.800 0.000
0.000 0.000 11.161
Pm Ti H
2 2 2
direct
0.000 0.000 0.152
0.000 0.000 0.848
0.333 0.667 0.384
0.333 0.667 0.616
0.000 0.000 0.500
0.333 0.667 0.000
```


Entry 4:
A plane-wave DFT calculation with GGA-PBE was carried out for crystalline Na2AlI5 at its relaxed geometry.

As for the energy: -86.18 eV/cell. The value obtained for the raw formation energy is -7.41 eV/f.u. The calculation puts the total magnetization at 0.0 Bohr magnetons per cell.

The structure in POSCAR format:
```
Na2AlI5
1.0
12.256 0.000 0.000
0.000 15.359 0.000
0.000 0.000 8.897
Na Al I
8 4 20
direct
0.000 0.000 0.232
0.000 0.000 0.768
0.055 0.256 0.000
0.445 0.756 0.500
0.500 0.500 0.268
0.500 0.500 0.732
0.555 0.244 0.500
0.945 0.744 0.000
0.167 0.248 0.500
0.333 0.748 0.000
0.667 0.252 0.000
0.833 0.752 0.500
0.010 0.847 0.500
0.151 0.079 0.000
0.168 0.350 0.272
0.168 0.350 0.728
0.171 0.643 0.000
0.329 0.143 0.500
0.332 0.850 0.228
0.332 0.850 0.772
0.349 0.579 0.500
0.490 0.347 0.000
0.510 0.653 0.000
0.651 0.421 0.500
0.668 0.150 0.228
0.668 0.150 0.772
0.671 0.857 0.500
0.829 0.357 0.000
0.832 0.650 0.272
0.832 0.650 0.728
0.849 0.921 0.000
0.990 0.153 0.500
```


Entry 5:
A plane-wave DFT calculation with GGA-PBE was carried out for crystalline KSrLa2Te4 at its relaxed geometry.

As for the energy: -37.63 eV/cell. The value obtained for the raw formation energy is -12.43 eV/f.u. The calculation puts the total magnetization at 0.0 Bohr magnetons per cell.

The structure in POSCAR format:
```
KSrLa2Te4
1.0
8.086 0.000 0.000
0.000 4.653 0.000
-2.665 0.000 7.857
K Sr La Te
1 1 2 4
direct
0.000 0.000 0.000
0.500 0.500 0.000
0.000 0.500 0.500
0.500 0.000 0.500
0.250 0.000 0.739
0.261 0.500 0.268
0.739 0.500 0.732
0.750 0.000 0.261
```


Entry 6:
A plane-wave DFT calculation with GGA-PBE was carried out for crystalline DyAgBiRh at its relaxed geometry.

As for the energy: -80.97 eV/cell. The energy of formation is -0.39 eV per atom. The calculation puts the total magnetization at 0.0 Bohr magnetons per cell.

The structure in POSCAR format:
```
DyAgBiRh
1.0
6.981 0.000 0.000
0.000 6.981 0.000
0.000 0.000 6.981
Dy Ag Bi Rh
4 4 4 4
direct
0.000 0.000 0.000
0.000 0.500 0.500
0.500 0.000 0.500
0.500 0.500 0.000
0.250 0.250 0.250
0.250 0.750 0.750
0.750 0.250 0.750
0.750 0.750 0.250
0.000 0.000 0.500
0.000 0.500 0.000
0.500 0.000 0.000
0.500 0.500 0.500
0.250 0.250 0.750
0.250 0.750 0.250
0.750 0.250 0.250
0.750 0.750 0.750
```